Entry 1:
## AlV2Rh9 (PBE)

Data for crystalline AlV2Rh9 at its relaxed geometry.

a = 3.8171 Å, b = 3.8171 Å, c = 11.4640 Å
α = 90.00°, β = 90.00°, γ = 90.00°
Space group P4/mmm (No. 123)
One atom of each set of equivalent atoms:
Al (0.0000, 0.0000, 0.0000)
V (0.0000, 0.0000, 0.3280)
Rh (0.0000, 0.5000, 0.1712)
Rh (0.0000, 0.5000, 0.5000)
Rh (0.5000, 0.5000, 0.0000)
Rh (0.5000, 0.5000, 0.3359)

Computed properties:
The calculation puts the total energy at -0.286 hartree per atom. For the density of states at the Fermi level, the calculation gives 0.822 states/eV per atom. For the formation enthalpy at 0 K, the calculation gives -0.43 eV per atom.

***

Entry 2:
## KLi2H (PBE)

Data for crystalline KLi2H at its relaxed geometry.

a = 7.4493 Å, b = 7.4493 Å, c = 7.4493 Å
α = 90.00°, β = 90.00°, γ = 90.00°
Space group Fm-3m (No. 225)
One atom of each set of equivalent atoms:
K (0.0000, 0.0000, 0.0000)
Li (0.2500, 0.2500, 0.2500)
H (0.0000, 0.0000, 0.5000)

Computed properties:
The calculation puts the total energy at -0.055 hartree per atom. For the density of states at the Fermi level, the calculation gives 0.570 states/eV per atom. The calculation puts the energy relative to the lowest polymorph listed for this composition at 452 meV per atom.

***

Entry 3:
## Er5PaBi6 (PBE)

Data for crystalline Er5PaBi6 at its relaxed geometry.

a = 7.7065 Å, b = 13.3528 Å, c = 7.7049 Å
α = 90.00°, β = 109.48°, γ = 90.00°
Space group C2/m (No. 12)
One atom of each set of equivalent atoms:
Er (0.0000, 0.0000, 0.0000)
Er (0.0000, 0.1668, 0.5000)
Er (0.0000, 0.3335, 0.0000)
Pa (0.0000, 0.5000, 0.5000)
Bi (0.2495, 0.0000, 0.7495)
Bi (0.2494, 0.1669, 0.2488)

Computed properties:
The calculation puts the total energy at -0.195 hartree per atom. For the density of states at the Fermi level, the calculation gives 0.672 states/eV per atom. For the formation enthalpy at 0 K, the calculation gives -0.68 eV per atom.

***

Entry 4:
## TiIn2Fe2 (PBE)

Data for crystalline TiIn2Fe2 at its relaxed geometry.

a = 4.2203 Å, b = 4.2203 Å, c = 10.3323 Å
α = 90.00°, β = 90.00°, γ = 90.00°
Space group I4/mmm (No. 139)
One atom of each set of equivalent atoms:
Ti (0.0000, 0.0000, 0.0000)
In (0.0000, 0.5000, 0.2500)
Fe (0.0000, 0.0000, 0.4028)

Computed properties:
The calculation puts the total energy at -0.205 hartree per atom. For the density of states at the Fermi level, the calculation gives 1.244 states/eV per atom. The calculation puts the energy relative to the lowest polymorph listed for this composition at 348 meV per atom. For the formation enthalpy at 0 K, the calculation gives 0.48 eV per atom.

***

Entry 5:
## RbInGe (PBE)

Data for crystalline RbInGe at its relaxed geometry.

a = 8.0131 Å, b = 4.6283 Å, c = 6.7919 Å
α = 90.00°, β = 113.78°, γ = 90.00°
Space group Cm (No. 8)
One atom of each set of equivalent atoms:
Rb (0.0000, 0.0000, 0.0000)
In (0.0037, 0.5000, 0.5224)
Ge (0.1911, 0.0000, 0.5840)

Computed properties:
The calculation puts the total energy at -0.105 hartree per atom. For the density of states at the Fermi level, the calculation gives 0.162 states/eV per atom. For the formation enthalpy at 0 K, the calculation gives -0.08 eV per atom.

***

Entry 6:
## CaMn2Pb (PBE)

Data for crystalline CaMn2Pb at its relaxed geometry.

a = 7.0532 Å, b = 7.0532 Å, c = 7.0532 Å
α = 90.00°, β = 90.00°, γ = 90.00°
Space group F-43m (No. 216)
One atom of each set of equivalent atoms:
Ca (0.0000, 0.0000, 0.0000)
Mn (0.0000, 0.0000, 0.5000)
Mn (0.2500, 0.2500, 0.7500)
Pb (0.2500, 0.2500, 0.2500)

Computed properties:
The calculation puts the total energy at -0.207 hartree per atom. For the density of states at the Fermi level, the calculation gives 1.301 states/eV per atom. The calculation puts the energy relative to the lowest polymorph listed for this composition at 275 meV per atom. For the formation enthalpy at 0 K, the calculation gives 0.38 eV per atom.

***

Entry 7:
## LiCdAg (PBE)

Data for crystalline LiCdAg at its relaxed geometry.

a = 4.6080 Å, b = 4.6080 Å, c = 2.9169 Å
α = 90.00°, β = 90.00°, γ = 120.00°
Space group P3m1 (No. 156)
One atom of each set of equivalent atoms:
Li (0.0000, 0.0000, 0.0000)
Cd (0.3333, 0.6667, 0.6309)
Ag (0.6667, 0.3333, 0.1959)

Computed properties:
The calculation puts the total energy at -0.076 hartree per atom. For the density of states at the Fermi level, the calculation gives 0.582 states/eV per atom. The calculation puts the energy relative to the lowest polymorph listed for this composition at 25 meV per atom. For the formation enthalpy at 0 K, the calculation gives -0.19 eV per atom.

***

Entry 8:
## Sr5HAu2 (PBE)

Data for crystalline Sr5HAu2 at its relaxed geometry.

a = 14.2059 Å, b = 4.6275 Å, c = 17.5947 Å
α = 90.00°, β = 90.00°, γ = 90.00°
Space group Pnma (No. 62)
One atom of each set of equivalent atoms:
Sr (0.0133, 0.2500, 0.1698)
Sr (0.0201, 0.7500, 0.3982)
Sr (0.1732, 0.2500, 0.9574)
Sr (0.2354, 0.2500, 0.2955)
Sr (0.2472, 0.7500, 0.1277)
H (0.1876, 0.2500, 0.1532)
Au (0.1159, 0.2500, 0.7708)
Au (0.1592, 0.2500, 0.4660)

Computed properties:
The calculation puts the total energy at -0.101 hartree per atom. For the density of states at the Fermi level, the calculation gives 0.593 states/eV per atom.

***

Entry 9:
## SrPu2NbO8 (PBE)

Data for crystalline SrPu2NbO8 at its relaxed geometry.

a = 7.0966 Å, b = 7.2418 Å, c = 6.9665 Å
α = 90.00°, β = 90.00°, γ = 90.00°
Space group Cmmm (No. 65)
One atom of each set of equivalent atoms:
Sr (0.0000, 0.0000, 0.0000)
Pu (0.0000, 0.5000, 0.2553)
Nb (0.0000, 0.0000, 0.5000)
O (0.0000, 0.2956, 0.5000)
O (0.0000, 0.3311, 0.0000)
O (0.1948, 0.0000, 0.2930)

Computed properties:
The calculation puts the total energy at -0.348 hartree per atom. For the density of states at the Fermi level, the calculation gives 0.756 states/eV per atom. The formation energy without anion corrections is -2799 meV per atom.

***

Entry 10:
## Tm2GaRh3 (PBE)

Data for crystalline Tm2GaRh3 at its relaxed geometry.

a = 4.4509 Å, b = 5.3010 Å, c = 9.6472 Å
α = 90.00°, β = 90.00°, γ = 90.00°
Space group Immm (No. 71)
One atom of each set of equivalent atoms:
Tm (0.0000, 0.0000, 0.1853)
Ga (0.0000, 0.0000, 0.5000)
Rh (0.0000, 0.5000, 0.1375)
Rh (0.0000, 0.5000, 0.5000)

Computed properties:
The calculation puts the total energy at -0.230 hartree per atom. For the density of states at the Fermi level, the calculation gives 0.593 states/eV per atom. The calculation puts the energy relative to the lowest polymorph listed for this composition at 334 meV per atom. For the formation enthalpy at 0 K, the calculation gives -0.58 eV per atom.

***

Entry 11:
## Nd8GeOs3Br4 (PBE)

Data for crystalline Nd8GeOs3Br4 at its relaxed geometry.

a = 14.5569 Å, b = 8.4065 Å, c = 9.1177 Å
α = 90.00°, β = 122.19°, γ = 90.00°
Space group C2/m (No. 12)
One atom of each set of equivalent atoms:
Nd (0.0218, 0.2394, 0.3053)
Nd (0.2349, 0.0000, 0.7045)
Nd (0.2387, 0.5000, 0.6947)
Ge (0.0000, 0.5000, 0.5000)
Os (0.0000, 0.0000, 0.5000)
Os (0.2500, 0.2500, 0.5000)
Br (0.0000, 0.0000, 0.0000)
Br (0.0000, 0.5000, 0.0000)
Br (0.2500, 0.2500, 0.0000)

Computed properties:
The calculation puts the total energy at -0.219 hartree per atom. For the density of states at the Fermi level, the calculation gives 0.495 states/eV per atom. The formation energy without anion corrections is -773 meV per atom.

***

Entry 12:
## Rb3Na12O5 (PBE)

Data for crystalline Rb3Na12O5 at its relaxed geometry.

a = 16.4966 Å, b = 16.4966 Å, c = 16.4966 Å
α = 90.00°, β = 90.00°, γ = 90.00°
Space group Ia-3d (No. 230)
One atom of each set of equivalent atoms:
Rb (0.0000, 0.2500, 0.1250)
Na (0.0242, 0.1361, 0.9431)
O (0.0000, 0.0000, 0.0000)
O (0.0000, 0.2500, 0.3750)

Computed properties:
The calculation puts the total energy at -0.104 hartree per atom. For the density of states at the Fermi level, the calculation gives 0.241 states/eV per atom. The formation energy without anion corrections is -641 meV per atom.

***

Entry 13:
## SrLa2ZrO6 (PBE)

Data for crystalline SrLa2ZrO6 at its relaxed geometry.

a = 6.0590 Å, b = 6.0590 Å, c = 15.5015 Å
α = 90.00°, β = 90.00°, γ = 120.00°
Space group R3 (No. 146, hexagonal axes)
One atom of each set of equivalent atoms:
Sr (0.0000, 0.0000, 0.0000)
La (0.0000, 0.0000, 0.2726)
La (0.0000, 0.0000, 0.7741)
Zr (0.0000, 0.0000, 0.4894)
O (0.0035, 0.3795, 0.2177)
O (0.0036, 0.7336, 0.3938)

Computed properties:
The calculation puts the total energy at -0.304 hartree per atom. For the density of states at the Fermi level, the calculation gives 0.000 states/eV per atom. The formation energy without anion corrections is -3293 meV per atom.

***

Entry 14:
## KLiTeF2 (PBE)

Data for crystalline KLiTeF2 at its relaxed geometry.

a = 4.7094 Å, b = 4.7094 Å, c = 5.3695 Å
α = 90.00°, β = 90.00°, γ = 90.00°
Space group P4/mmm (No. 123)
One atom of each set of equivalent atoms:
K (0.0000, 0.0000, 0.0000)
Li (0.0000, 0.0000, 0.5000)
Te (0.5000, 0.5000, 0.5000)
F (0.0000, 0.5000, 0.0000)

Computed properties:
The calculation puts the total energy at -0.110 hartree per atom. For the density of states at the Fermi level, the calculation gives 1.335 states/eV per atom. The formation energy without anion corrections is -1025 meV per atom.

***

Entry 15:
## Sm2MnGe3Ir4 (PBE)

Data for crystalline Sm2MnGe3Ir4 at its relaxed geometry.

a = 4.1658 Å, b = 4.1658 Å, c = 10.5506 Å
α = 90.00°, β = 90.00°, γ = 90.00°
Space group P-4m2 (No. 115)
One atom of each set of equivalent atoms:
Sm (0.0000, 0.5000, 0.2479)
Mn (0.0000, 0.0000, 0.5000)
Ge (0.0000, 0.5000, 0.8697)
Ge (0.5000, 0.5000, 0.5000)
Ir (0.0000, 0.0000, 0.0000)
Ir (0.0000, 0.5000, 0.6372)
Ir (0.5000, 0.5000, 0.0000)

Computed properties:
The calculation puts the total energy at -0.275 hartree per atom. For the density of states at the Fermi level, the calculation gives 0.504 states/eV per atom. For the formation enthalpy at 0 K, the calculation gives -0.70 eV per atom.

***

Entry 16:
## LiPm2SbO6 (PBE)

Data for crystalline LiPm2SbO6 at its relaxed geometry.

a = 5.5486 Å, b = 5.5956 Å, c = 5.6722 Å
α = 118.97°, β = 118.55°, γ = 91.10°
Space group P-1 (No. 2)
One atom of each set of equivalent atoms:
Li (0.0000, 0.0000, 0.0000)
Pm (0.2580, 0.7250, 0.5019)
Sb (0.5000, 0.5000, 0.0000)
O (0.1859, 0.6703, 0.8657)
O (0.2786, 0.1546, 0.5384)
O (0.3168, 0.3189, 0.1295)

Computed properties:
The calculation puts the total energy at -0.261 hartree per atom. For the density of states at the Fermi level, the calculation gives 0.000 states/eV per atom. The formation energy without anion corrections is -2573 meV per atom.

***

Entry 17:
## La2HfTl (PBE)

Data for crystalline La2HfTl at its relaxed geometry.

a = 4.4789 Å, b = 4.4789 Å, c = 23.5016 Å
α = 90.00°, β = 90.00°, γ = 90.00°
Space group I-42d (No. 122)
One atom of each set of equivalent atoms:
La (0.2431, 0.2500, 0.1250)
Hf (0.0000, 0.0000, 0.0000)
Tl (0.0000, 0.0000, 0.5000)

Computed properties:
The calculation puts the total energy at -0.189 hartree per atom. For the density of states at the Fermi level, the calculation gives 0.899 states/eV per atom. The calculation puts the energy relative to the lowest polymorph listed for this composition at 310 meV per atom. For the formation enthalpy at 0 K, the calculation gives 0.41 eV per atom.

***

Entry 18:
## Mg2In2Sn (PBE)

Data for crystalline Mg2In2Sn at its relaxed geometry.

a = 4.4928 Å, b = 4.4928 Å, c = 13.1382 Å
α = 90.00°, β = 90.00°, γ = 90.00°
Space group I4/mmm (No. 139)
One atom of each set of equivalent atoms:
Mg (0.0000, 0.5000, 0.2500)
In (0.0000, 0.0000, 0.1052)
Sn (0.0000, 0.0000, 0.5000)

Computed properties:
The calculation puts the total energy at -0.090 hartree per atom. For the density of states at the Fermi level, the calculation gives 0.607 states/eV per atom. The calculation puts the energy relative to the lowest polymorph listed for this composition at 115 meV per atom. For the formation enthalpy at 0 K, the calculation gives 0.08 eV per atom.

***

Entry 19:
## Pm3Sm2Sn4 (PBE)

Data for crystalline Pm3Sm2Sn4 at its relaxed geometry.

a = 11.4869 Å, b = 4.9106 Å, c = 10.1963 Å
α = 90.00°, β = 98.03°, γ = 90.00°
Space group C2/m (No. 12)
One atom of each set of equivalent atoms:
Pm (0.0000, 0.0000, 0.0000)
Pm (0.1251, 0.5000, 0.4197)
Sm (0.1754, 0.5000, 0.8164)
Sn (0.0916, 0.0000, 0.6280)
Sn (0.1461, 0.5000, 0.1195)

Computed properties:
The calculation puts the total energy at -0.184 hartree per atom. For the density of states at the Fermi level, the calculation gives 0.778 states/eV per atom. The calculation puts the energy relative to the lowest polymorph listed for this composition at 147 meV per atom. For the formation enthalpy at 0 K, the calculation gives -0.61 eV per atom.

***

Entry 20:
## Y3TcCl (PBE)

Data for crystalline Y3TcCl at its relaxed geometry.

a = 5.4179 Å, b = 5.4179 Å, c = 5.4179 Å
α = 90.00°, β = 90.00°, γ = 90.00°
Space group Pm-3m (No. 221)
One atom of each set of equivalent atoms:
Y (0.0000, 0.0000, 0.5000)
Tc (0.0000, 0.0000, 0.0000)
Cl (0.5000, 0.5000, 0.5000)

Computed properties:
The calculation puts the total energy at -0.232 hartree per atom. For the density of states at the Fermi level, the calculation gives 1.394 states/eV per atom. The formation energy without anion corrections is -4 meV per atom. The calculation puts the energy relative to the lowest polymorph listed for this composition at 0 meV per atom.